No. 1
{"formula": "NbInGa2Sn", "functional": "GGA-PBE", "state": "optimized geometry", "lattice": [[-3.720, -2.822, 1.813], [3.473, -4.255, 0.504], [1.141, 1.481, 4.647]], "species": ["Nb", "Sn", "Ga", "Ga", "In"], "fractional_positions": [[0.000, 0.500, 0.000], [0.500, 0.500, 0.500], [0.000, 0.000, 0.500], [0.500, 0.000, 0.000], [0.000, 0.000, 0.000]], "magmom_total_mub_per_cell": 1.98, "final_energy_ev_per_atom": -3.579, "delta_e_f_ev_per_atom": 0.9939}


No. 2
{"formula": "ScMoOs2", "functional": "GGA-PBE", "state": "optimized geometry", "lattice": [[5.302, 0.004, -0.001], [2.515, 4.667, 0.001], [-3.437, -3.126, 2.556]], "species": ["Mo", "Os", "Os", "Sc"], "fractional_positions": [[0.244, 0.744, 0.500], [0.006, 0.006, 0.000], [0.751, 0.251, 0.500], [0.499, 0.499, 0.000]], "magmom_total_mub_per_cell": 0.00, "final_energy_ev_per_atom": -9.918, "delta_e_f_ev_per_atom": -0.0120}


No. 3
{"formula": "Pt2C", "functional": "GGA-PBE", "state": "optimized geometry", "lattice": [[5.359, 0.000, 0.000], [0.000, 5.359, 0.000], [0.000, 0.000, 5.359]], "species": ["C", "C", "C", "C", "Pt", "Pt", "Pt", "Pt", "Pt", "Pt", "Pt", "Pt"], "fractional_positions": [[0.000, 0.000, 0.000], [0.500, 0.500, 0.000], [0.500, 0.000, 0.500], [0.000, 0.500, 0.500], [0.655, 0.655, 0.345], [0.345, 0.345, 0.655], [0.155, 0.845, 0.655], [0.845, 0.155, 0.345], [0.345, 0.155, 0.155], [0.655, 0.845, 0.845], [0.845, 0.345, 0.845], [0.155, 0.655, 0.155]], "magmom_total_mub_per_cell": 0.00, "final_energy_ev_per_atom": -6.368, "e_above_lowest_polymorph_mev_per_atom": 177, "delta_e_f_ev_per_atom": 0.7337}


No. 4
{"formula": "AcZnGa3Ni", "functional": "GGA-PBE", "state": "optimized geometry", "lattice": [[6.317, 0.000, 0.000], [0.000, 6.338, 0.000], [0.000, -3.169, 6.356]], "species": ["Ac", "Ac", "Zn", "Zn", "Ga", "Ga", "Ga", "Ga", "Ga", "Ga", "Ni", "Ni"], "fractional_positions": [[0.750, 0.231, 0.462], [0.250, 0.769, 0.538], [0.250, 0.378, 0.756], [0.750, 0.622, 0.244], [0.250, 0.187, 0.374], [0.000, 0.283, 0.000], [0.500, 0.717, 0.000], [0.500, 0.283, 0.000], [0.000, 0.717, 0.000], [0.750, 0.813, 0.626], [0.250, 0.010, 0.020], [0.750, 0.990, 0.980]], "magmom_total_mub_per_cell": 0.00, "final_energy_ev_per_atom": -3.624, "delta_e_f_ev_per_atom": -0.2502}


No. 5
{"formula": "Pu2SeO", "functional": "GGA-PBE", "state": "optimized geometry", "lattice": [[4.316, 0.000, 0.000], [0.000, 4.316, 0.000], [0.000, 0.000, 8.506]], "species": ["Pu", "Pu", "Pu", "Pu", "Se", "Se", "O", "O"], "fractional_positions": [[0.000, 0.500, 0.863], [0.000, 0.000, 0.500], [0.500, 0.000, 0.137], [0.500, 0.500, 0.500], [0.500, 0.000, 0.779], [0.000, 0.500, 0.221], [0.500, 0.000, 0.411], [0.000, 0.500, 0.589]], "magmom_total_mub_per_cell": 12.37, "final_energy_ev_per_atom": -10.584, "e_above_lowest_polymorph_mev_per_atom": 598}


No. 6
{"formula": "HoZn2Bi", "functional": "GGA-PBE", "state": "optimized geometry", "lattice": [[4.535, 0.000, 0.000], [0.000, 4.448, 0.000], [0.000, 0.000, 4.448]], "species": ["Zn", "Zn", "Bi", "Ho"], "fractional_positions": [[0.000, 0.000, 0.500], [0.000, 0.500, 0.000], [0.500, 0.000, 0.000], [0.500, 0.500, 0.500]], "magmom_total_mub_per_cell": 0.00, "final_energy_ev_per_atom": -3.048, "delta_e_f_ev_per_atom": -0.2967}


No. 7
{"formula": "KCd2In2", "functional": "GGA-PBE", "state": "optimized geometry", "lattice": [[9.242, 0.000, 0.000], [0.000, 9.242, 0.000], [0.000, 0.000, 3.344]], "species": ["K", "K", "Cd", "Cd", "Cd", "Cd", "In", "In", "In", "In"], "fractional_positions": [[0.000, 0.000, 0.000], [0.500, 0.500, 0.000], [0.156, 0.656, 0.500], [0.656, 0.844, 0.500], [0.844, 0.344, 0.500], [0.344, 0.156, 0.500], [0.363, 0.863, 0.000], [0.863, 0.637, 0.000], [0.637, 0.137, 0.000], [0.137, 0.363, 0.000]], "magmom_total_mub_per_cell": 0.00, "final_energy_ev_per_atom": -1.729, "e_above_lowest_polymorph_mev_per_atom": 42, "delta_e_f_ev_per_atom": -0.0481}


No. 8
{"formula": "ScRuSe2Br", "functional": "GGA-PBE", "state": "optimized geometry", "lattice": [[4.878, 0.000, 0.000], [0.000, 4.878, 0.000], [0.000, 0.000, 4.948]], "species": ["Sc", "Ru", "Se", "Se", "Br"], "fractional_positions": [[0.500, 0.500, 0.500], [0.000, 0.000, 0.000], [0.000, 0.500, 0.000], [0.500, 0.000, 0.000], [0.000, 0.000, 0.500]], "magmom_total_mub_per_cell": 0.00, "final_energy_ev_per_atom": -4.879, "e_above_lowest_polymorph_mev_per_atom": 0}


No. 9
{"formula": "SrPb3Se", "functional": "GGA-PBE", "state": "optimized geometry", "lattice": [[6.176, 0.000, 0.000], [0.000, 6.176, 0.000], [0.000, 0.000, 6.176]], "species": ["Pb", "Pb", "Pb", "Sr", "Se"], "fractional_positions": [[0.000, 0.500, 0.000], [0.000, 0.000, 0.500], [0.500, 0.000, 0.000], [0.000, 0.000, 0.000], [0.500, 0.500, 0.500]], "magmom_total_mub_per_cell": 1.65, "final_energy_ev_per_atom": -2.370, "e_above_lowest_polymorph_mev_per_atom": 971}


No. 10
{"formula": "DyReAs", "functional": "GGA-PBE", "state": "optimized geometry", "lattice": [[4.034, 0.000, 0.000], [0.000, 4.034, 0.000], [0.000, 0.000, 7.157]], "species": ["Re", "Re", "As", "As", "Dy", "Dy"], "fractional_positions": [[0.000, 0.000, 0.000], [0.500, 0.500, 0.000], [0.000, 0.500, 0.770], [0.500, 0.000, 0.230], [0.000, 0.500, 0.336], [0.500, 0.000, 0.664]], "magmom_total_mub_per_cell": 0.00, "final_energy_ev_per_atom": -7.702, "delta_e_f_ev_per_atom": -0.4689}


No. 11
{"formula": "MgAuBr2", "functional": "GGA-PBE", "state": "optimized geometry", "lattice": [[5.565, 0.020, -0.135], [4.410, 3.394, -0.135], [4.119, 1.410, 6.604]], "species": ["Au", "Br", "Br", "Mg"], "fractional_positions": [[0.209, 0.209, 0.189], [0.938, 0.938, 0.188], [0.876, 0.876, 0.698], [0.477, 0.477, 0.425]], "magmom_total_mub_per_cell": 0.00, "final_energy_ev_per_atom": -2.644, "e_above_lowest_polymorph_mev_per_atom": 36}


No. 12
{"formula": "MgFeBr2", "functional": "GGA-PBE", "state": "optimized geometry", "lattice": [[3.616, -0.001, 0.000], [-1.884, 3.087, 0.000], [0.000, 0.000, 9.304]], "species": ["Br", "Br", "Fe", "Mg"], "fractional_positions": [[0.000, 0.000, 0.055], [0.000, 0.000, 0.445], [0.500, 0.500, 0.250], [0.500, 0.500, 0.750]], "magmom_total_mub_per_cell": 3.49, "final_energy_ev_per_atom": -3.377, "e_above_lowest_polymorph_mev_per_atom": 266}


No. 13
{"formula": "LiTc2Ru", "functional": "GGA-PBE", "state": "optimized geometry", "lattice": [[2.708, 0.000, 0.000], [0.000, 2.708, 0.000], [0.000, 0.000, 7.797]], "species": ["Li", "Ru", "Tc", "Tc"], "fractional_positions": [[0.000, 0.000, 0.509], [0.500, 0.500, 0.759], [0.000, 0.000, 0.986], [0.500, 0.500, 0.246]], "magmom_total_mub_per_cell": 0.00, "final_energy_ev_per_atom": -7.716, "e_above_lowest_polymorph_mev_per_atom": 98, "delta_e_f_ev_per_atom": 0.2642}


No. 14
{"formula": "Er7Tl4Pd", "functional": "GGA-PBE", "state": "optimized geometry", "lattice": [[-0.334, 4.822, -2.327], [-8.760, 1.297, -2.239], [-1.907, 5.500, 5.488]], "species": ["Er", "Er", "Er", "Er", "Er", "Er", "Er", "Tl", "Tl", "Tl", "Tl", "Pd"], "fractional_positions": [[0.779, 0.868, 0.573], [0.221, 0.132, 0.427], [0.067, 0.706, 0.160], [0.933, 0.294, 0.840], [0.349, 0.580, 0.723], [0.500, 0.000, 0.000], [0.651, 0.420, 0.277], [0.575, 0.222, 0.629], [0.425, 0.778, 0.371], [0.716, 0.652, 0.917], [0.284, 0.348, 0.083], [0.000, 0.000, 0.000]], "magmom_total_mub_per_cell": 0.00, "final_energy_ev_per_atom": -4.020, "delta_e_f_ev_per_atom": -0.1368}


No. 15
{"formula": "KTc", "functional": "GGA-PBE", "state": "optimized geometry", "lattice": [[3.222, 0.000, 0.000], [0.000, 3.251, -0.062], [0.000, 0.946, 10.759]], "species": ["K", "K", "Tc", "Tc"], "fractional_positions": [[0.000, 0.695, 0.078], [0.500, 0.055, 0.672], [0.000, 0.613, 0.425], [0.500, 0.137, 0.325]], "magmom_total_mub_per_cell": 0.80, "final_energy_ev_per_atom": -4.975, "e_above_lowest_polymorph_mev_per_atom": 0, "delta_e_f_ev_per_atom": 0.7563}


No. 16
{"formula": "AcPu2Si", "functional": "GGA-PBE", "state": "optimized geometry", "lattice": [[-2.963, 0.870, -4.266], [1.984, -0.855, -4.803], [-1.727, -4.057, -2.878]], "species": ["Ac", "Si", "Pu", "Pu"], "fractional_positions": [[0.000, 0.000, 0.000], [0.500, 0.500, 0.500], [0.250, 0.250, 0.250], [0.750, 0.750, 0.750]], "magmom_total_mub_per_cell": 13.55, "final_energy_ev_per_atom": -9.374, "e_above_lowest_polymorph_mev_per_atom": 258}


No. 17
{"formula": "Tm2Th4Sn3N2", "functional": "GGA-PBE", "state": "optimized geometry", "lattice": [[4.804, 0.000, 0.000], [0.000, 4.804, 0.000], [-2.402, -2.402, 12.783]], "species": ["Tm", "Tm", "Th", "Th", "Th", "Th", "Sn", "Sn", "Sn", "N", "N"], "fractional_positions": [[0.304, 0.304, 0.608], [0.696, 0.696, 0.392], [0.415, 0.915, 0.829], [0.915, 0.415, 0.829], [0.085, 0.585, 0.171], [0.585, 0.085, 0.171], [0.000, 0.000, 0.000], [0.181, 0.181, 0.363], [0.819, 0.819, 0.637], [0.393, 0.393, 0.786], [0.607, 0.607, 0.214]], "magmom_total_mub_per_cell": 0.00, "final_energy_ev_per_atom": -6.964}


No. 18
{"formula": "HgBiSeBr2", "functional": "GGA-PBE", "state": "optimized geometry", "lattice": [[-1.962, 2.354, -4.299], [-4.992, -3.570, 0.323], [-2.374, 3.595, 3.052]], "species": ["Se", "Bi", "Br", "Br", "Hg"], "fractional_positions": [[0.500, 0.500, 0.500], [0.000, 0.500, 0.000], [0.000, 0.000, 0.500], [0.500, 0.000, 0.000], [0.000, 0.000, 0.000]], "magmom_total_mub_per_cell": 0.59, "final_energy_ev_per_atom": -1.834, "e_above_lowest_polymorph_mev_per_atom": 493}


No. 19
{"formula": "CsAgAu2F8", "functional": "GGA-PBE", "state": "optimized geometry", "lattice": [[5.727, 0.000, 0.000], [2.864, 4.960, 0.000], [2.864, 1.653, 9.333]], "species": ["Cs", "Ag", "Au", "Au", "F", "F", "F", "F", "F", "F", "F", "F"], "fractional_positions": [[0.000, 0.000, 0.000], [0.500, 0.500, 0.500], [0.740, 0.740, 0.780], [0.260, 0.260, 0.220], [0.667, 0.667, 0.999], [0.333, 0.333, 0.001], [0.379, 0.379, 0.365], [0.621, 0.621, 0.635], [0.124, 0.621, 0.635], [0.379, 0.876, 0.365], [0.876, 0.379, 0.365], [0.621, 0.124, 0.635]], "magmom_total_mub_per_cell": 0.00, "final_energy_ev_per_atom": -3.192}


No. 20
{"formula": "Be2Tl2InO6", "functional": "GGA-PBE", "state": "optimized geometry", "lattice": [[5.385, 0.000, 0.000], [-2.692, 4.664, 0.000], [0.000, 0.000, 6.177]], "species": ["Be", "Be", "Tl", "Tl", "In", "O", "O", "O", "O", "O", "O"], "fractional_positions": [[0.333, 0.667, 0.796], [0.667, 0.333, 0.204], [0.333, 0.667, 0.317], [0.667, 0.333, 0.683], [0.000, 0.000, 0.000], [0.290, 0.360, 0.789], [0.070, 0.710, 0.789], [0.640, 0.930, 0.789], [0.710, 0.640, 0.211], [0.930, 0.290, 0.211], [0.360, 0.070, 0.211]], "magmom_total_mub_per_cell": 0.00, "final_energy_ev_per_atom": -5.439}